Below is a relaxed MgAl3Ga6 crystal, with properties calculated at the PBE level.

Results
Theoretical density in g/cm3: 4.82
ΔE_f in meV per atom: -6
Space-group type: P2_1/m (11)
Total magnetization in μB/f.u.: 0.00

POSCAR file:
```
MgAl3Ga6
1.0
9.415 0.000 0.000
0.000 4.067 0.000
-0.204 0.000 9.416
Mg Al Ga
2 6 12
direct
0.110 0.250 0.444
0.890 0.750 0.556
0.099 0.750 0.952
0.297 0.250 0.853
0.493 0.750 0.752
0.507 0.250 0.248
0.703 0.750 0.147
0.901 0.250 0.048
0.004 0.250 0.756
0.198 0.750 0.660
0.201 0.250 0.142
0.311 0.750 0.341
0.400 0.750 0.047
0.401 0.250 0.554
0.599 0.750 0.446
0.600 0.250 0.953
0.689 0.250 0.659
0.799 0.750 0.858
0.802 0.250 0.340
0.996 0.750 0.244
```